Computed, not measured: an optimized crystal structure of ScSn3C at the PBE level of DFT.

Energy of formation from the pure elements (eV per atom): 0.673
Total energy (eV/atom): -4.840
Calculated volume (Å³/atom): 21.9
Offset from the most stable computed form (meV/atom): 0
Magnetization (μB per formula unit): 0.000

Cell: 4.7850 4.7850 4.7850 Å, 90.00 90.00 90.00°
With the nearest neighbours (Å) after each atom.
Fractional positions:
Sc 0.0000 0.0000 0.0000  12 Sn 3.38
Sn 0.0000 0.5000 0.5000  2 C 2.39
Sn 0.5000 0.0000 0.5000  2 C 2.39
Sn 0.5000 0.5000 0.0000  2 C 2.39
C 0.5000 0.5000 0.5000  6 Sn 2.39

=====

Computed, not measured: an optimized crystal structure of NbAgTeN2 at the PBE level of DFT.

Total energy (eV/atom): -6.178
Calculated volume (Å³/atom): 19.6
Offset from the most stable computed form (meV/atom): 0
Magnetization (μB per formula unit): 0.623

Cell: 4.0343 4.0343 6.0225 Å, 90.00 90.00 90.00°
With the nearest neighbours (Å) after each atom.
Fractional positions:
Nb 0.0000 0.0000 0.0000  4 N 2.02
Ag 0.5000 0.5000 0.5000  4 Te 2.85
Te 0.0000 0.0000 0.5000  4 Ag 2.85, 2 Nb 3.01
N 0.0000 0.5000 0.0000  2 Nb 2.02
N 0.5000 0.0000 0.0000  2 Nb 2.02

=====

Computed, not measured: an optimized crystal structure of PmInTc at the PBE level of DFT.

Energy of formation from the pure elements (eV per atom): 0.225
Total energy (eV/atom): -5.727
Calculated volume (Å³/atom): 24.7
Magnetization (μB per formula unit): 0.000

Cell: 3.2575 4.6603 9.9823 Å, 101.63 90.28 90.00°
With the nearest neighbours (Å) after each atom.
Fractional positions:
Pm 0.2493 0.3062 0.1384  2 Tc 2.97-2.99, 2 In 3.21-3.22, 2 Pm 3.26
Pm 0.7507 0.6938 0.8616  2 Tc 2.97-2.99, 2 In 3.21-3.22, 2 Pm 3.26
In 0.2470 0.9058 0.3654  5 Tc 2.85-3.09, 2 In 3.11-3.12
In 0.7530 0.0942 0.6346  5 Tc 2.85-3.09, 2 In 3.11-3.12
Tc 0.2519 0.5812 0.6067  2 Tc 2.67, 4 In 2.85-2.86, 2 Pm 2.97-2.99
Tc 0.7481 0.4188 0.3933  2 Tc 2.67, 4 In 2.85-2.86, 2 Pm 2.97-2.99

=====

Computed, not measured: an optimized crystal structure of Ba2LiH at the PBE level of DFT.

Total energy (eV/atom): -2.312
Calculated volume (Å³/atom): 35.3
Offset from the most stable computed form (meV/atom): 46
Magnetization (μB per formula unit): 0.144

Cell: 9.2038 9.2038 9.2038 Å, 26.94 26.94 26.94°
With the nearest neighbours (Å) after each atom.
Fractional positions:
Ba 0.0000 0.0000 0.0000  3 H 2.96
Ba 0.2092 0.2092 0.2092  3 H 2.99
Li 0.4373 0.4373 0.4373  6 Ba 3.71-3.74
H 0.6055 0.6055 0.6055  6 Ba 2.96-2.99

=====

Computed, not measured: an optimized crystal structure of Tb2PrTm5Sc at the PBE level of DFT.

Energy of formation from the pure elements (eV per atom): 0.174
Total energy (eV/atom): -4.573
Calculated volume (Å³/atom): 31.0
Magnetization (μB per formula unit): 0.001

Cell: 10.1722 10.1722 10.3160 Å, 90.00 90.00 148.43°
With the nearest neighbours (Å) after each atom.
Fractional positions:
Tb 0.1112 0.8888 0.5000  9 Tm 3.24-3.53, 1 Sc 3.53
Tb 0.1142 0.8858 0.9181  1 Sc 3.32, 7 Tm 3.39-3.62, 2 Pr 3.62
Tb 0.8858 0.1142 0.4181  1 Sc 3.32, 7 Tm 3.39-3.62, 2 Pr 3.62
Tb 0.8888 0.1112 0.0000  9 Tm 3.24-3.53, 1 Sc 3.53
Pr 0.4140 0.5860 0.6381  5 Tm 3.01-3.21
Pr 0.5860 0.4140 0.1381  5 Tm 3.01-3.21
Tm 0.0184 0.9816 0.2062  2 Pr 3.15, 3 Tb 3.31-3.51, 1 Sc 3.50
Tm 0.2766 0.7234 0.5077  1 Pr 3.01, 1 Tb 3.24, 2 Tm 3.35
Tm 0.2977 0.7023 0.8913  4 Tm 3.35-3.59, 3 Sc 3.41-3.73, 1 Pr 3.47, 3 Tb 3.48-3.60
Tm 0.3767 0.6233 0.2047  4 Tb 3.49-3.54, 1 Sc 3.51, 4 Tm 3.55-3.69
Tm 0.4804 0.5196 0.9227  2 Pr 3.04-3.21, 2 Tb 3.39
Tm 0.5196 0.4804 0.4227  2 Pr 3.04-3.21, 2 Tb 3.39
Tm 0.6233 0.3767 0.7047  4 Tb 3.49-3.54, 1 Sc 3.51, 4 Tm 3.55-3.69
Tm 0.7023 0.2977 0.3913  4 Tm 3.35-3.59, 3 Sc 3.41-3.73, 1 Pr 3.47, 3 Tb 3.48-3.60
Tm 0.7234 0.2766 0.0077  1 Pr 3.01, 1 Tb 3.24, 2 Tm 3.35
Tm 0.9816 0.0184 0.7062  2 Pr 3.15, 3 Tb 3.31-3.51, 1 Sc 3.50
Sc 0.1972 0.8028 0.1990  2 Tb 3.32-3.53, 7 Tm 3.41-3.54, 2 Pr 3.58
Sc 0.8028 0.1972 0.6990  2 Tb 3.32-3.53, 7 Tm 3.41-3.54, 2 Pr 3.58

=====

What did the fourth record say?
Computed, not measured: an optimized crystal structure of Ba2LiH at the PBE level of DFT.

Total energy (eV/atom): -2.312
Calculated volume (Å³/atom): 35.3
Offset from the most stable computed form (meV/atom): 46
Magnetization (μB per formula unit): 0.144

Cell: 9.2038 9.2038 9.2038 Å, 26.94 26.94 26.94°
With the nearest neighbours (Å) after each atom.
Fractional positions:
Ba 0.0000 0.0000 0.0000  3 H 2.96
Ba 0.2092 0.2092 0.2092  3 H 2.99
Li 0.4373 0.4373 0.4373  6 Ba 3.71-3.74
H 0.6055 0.6055 0.6055  6 Ba 2.96-2.99

=====

> What is the formula in the fourth record?

Ba2LiH